[1]
This record from the Alexandria database describes a geometry-optimized LiAg2Pd structure. The functional is PBE-GGA.

The calculation puts the polymorph energy (0 for the lowest one) at 0.023 eV per atom. Its crystal system is orthorhombic. As for the energy of formation: -203 meV/atom.

It has space group Cmmm (No. 65), with a = 5.8004 Å, b = 7.5627 Å, c = 2.9714 Å, α = 90.00°, β = 90.00° and γ = 90.00°. Symmetry generates all atoms from Li at (0.0000, 0.0000, 0.0000), Ag at (0.2500, 0.2500, 0.5000) and Pd at (0.0000, 0.5000, 0.0000).


[2]
This record from the Alexandria database describes a geometry-optimized YInPt6 structure. The functional is PBE-GGA.

Its crystal system is tetragonal. As for the energy of formation: -689 meV/atom.

It has space group P4/mmm (No. 123), with a = 4.1015 Å, b = 4.1015 Å, c = 8.1366 Å, α = 90.00°, β = 90.00° and γ = 90.00°. Symmetry generates all atoms from Y at (0.0000, 0.0000, 0.0000), In at (0.0000, 0.0000, 0.5000), Pt at (0.0000, 0.5000, 0.2561), Pt at (0.5000, 0.5000, 0.0000) and Pt at (0.5000, 0.5000, 0.5000).


[3]
This record from the Alexandria database describes a geometry-optimized Pa5Nb2N12 structure. The functional is PBE-GGA.

Its crystal system is monoclinic. Its uncorrected formation energy is -1357 meV per atom.

It has space group C2/m (No. 12), with a = 12.4688 Å, b = 6.0389 Å, c = 7.3999 Å, α = 90.00°, β = 106.91° and γ = 90.00°. Symmetry generates all atoms from Pa at (0.0000, 0.0000, 0.0000), Pa at (0.1908, 0.5000, 0.8532), Pa at (0.1918, 0.5000, 0.3401), Nb at (0.0000, 0.2381, 0.5000), N at (0.0026, 0.0000, 0.3067), N at (0.0031, 0.5000, 0.3008), N at (0.1550, 0.2459, 0.0724) and N at (0.1732, 0.2766, 0.5912).


[4]
This record from the Alexandria database describes a geometry-optimized BaSc2Ge2 structure. The functional is PBE-GGA.

The calculation puts the polymorph energy (0 for the lowest one) at 0.153 eV per atom. Its crystal system is tetragonal. As for the energy of formation: -492 meV/atom.

It has space group P4/mbm (No. 127), with a = 8.5196 Å, b = 8.5196 Å, c = 3.1752 Å, α = 90.00°, β = 90.00° and γ = 90.00°. Symmetry generates all atoms from Ba at (0.0000, 0.0000, 0.0000), Sc at (0.1264, 0.3736, 0.0000) and Ge at (0.1655, 0.6655, 0.5000).


[5]
This record from the Alexandria database describes a geometry-optimized Zr2ScN2 structure. The functional is PBE-GGA.

The calculation puts the polymorph energy (0 for the lowest one) at 0.372 eV per atom. Its crystal system is orthorhombic. Its uncorrected formation energy is -1051 meV per atom.

It has space group Cmc2_1 (No. 36), with a = 3.1048 Å, b = 16.6700 Å, c = 5.6459 Å, α = 90.00°, β = 90.00° and γ = 90.00°. Symmetry generates all atoms from Zr at (0.0000, 0.0036, 0.0000), Zr at (0.0000, 0.1653, 0.2999), Sc at (0.0000, 0.3351, 0.3169), N at (0.0000, 0.2476, 0.6288) and N at (0.0000, 0.4282, 0.7020).


[6]
This record from the Alexandria database describes a geometry-optimized MnCu2P2 structure. The functional is PBE-GGA.

Its crystal system is tetragonal. As for the energy of formation: -81 meV/atom.

It has space group P4/mbm (No. 127), with a = 5.7637 Å, b = 5.7637 Å, c = 3.9830 Å, α = 90.00°, β = 90.00° and γ = 90.00°. Symmetry generates all atoms from Mn at (0.0000, 0.0000, 0.0000), Cu at (0.2306, 0.2694, 0.5000) and P at (0.1345, 0.6345, 0.0000).


[7]
This record from the Alexandria database describes a geometry-optimized YTiAgPb structure. The functional is PBE-GGA.

Its crystal system is cubic. As for the energy of formation: -120 meV/atom.

It has space group F-43m (No. 216), with a = 7.1651 Å, b = 7.1651 Å, c = 7.1651 Å, α = 90.00°, β = 90.00° and γ = 90.00°. Symmetry generates all atoms from Y at (0.0000, 0.0000, 0.0000), Ti at (0.0000, 0.0000, 0.5000), Ag at (0.2500, 0.2500, 0.7500) and Pb at (0.2500, 0.2500, 0.2500).


[8]
This record from the Alexandria database describes a geometry-optimized La3Tb3HoS8 structure. The functional is PBE-GGA.

Its crystal system is trigonal. Its uncorrected formation energy is -2111 meV per atom.

It has space group R-3m (No. 166, hexagonal axes), with a = 7.9779 Å, b = 7.9779 Å, c = 20.0821 Å, α = 90.00°, β = 90.00° and γ = 120.00°. Symmetry generates all atoms from La at (0.0000, 0.5000, 0.0000), Tb at (0.0000, 0.5000, 0.5000), Ho at (0.0000, 0.0000, 0.5000), S at (0.0000, 0.0000, 0.2441) and S at (0.0017, 0.5009, 0.2438).


- What is the formula in the sixth record?
  MnCu2P2


- Which formula does entry 7 have?
  YTiAgPb